Below is an optimized crystal structure of HRhAuBr, with properties calculated at the PBE-GGA level.

Cell and atoms, written as POSCAR:
```
HRhAuBr
1.0
-2.437 -2.135 0.652
1.553 -0.927 2.769
-5.850 8.552 6.142
Au Br Rh H
2 2 2 2
direct
0.000 0.500 0.580
0.500 0.000 0.080
0.000 0.000 0.290
0.500 0.500 0.790
0.000 0.500 0.946
0.500 0.000 0.446
0.500 0.500 0.408
0.000 0.000 0.908
```

Computed properties:
- ΔE to the lowest computed polymorph (meV per atom) = 27.8
- uncorrected energy (eV per atom) = -3.719
- magnetization (μB/cell) = 0.00
- N(E_F) (states/eV per atom) = 0.4650